(1)
# PBE-GGA LiMgIrW, relaxed
data_LiMgIrW
_chemical_formula_sum 'Li1 Mg1 Ir1 W1'
_cell_length_a 4.367
_cell_length_b 4.367
_cell_length_c 4.367
_cell_angle_alpha 60.00
_cell_angle_beta 60.00
_cell_angle_gamma 60.00
_symmetry_space_group_name_H-M 'P 1'
_symmetry_Int_Tables_number 1
loop_
_symmetry_equiv_pos_as_xyz
'x,y,z'
loop_
_atom_site_label
_atom_site_type_symbol
_atom_site_fract_x
_atom_site_fract_y
_atom_site_fract_z
Li1 Li 0.000 0.000 0.000
Mg1 Mg 0.250 0.250 0.250
Ir1 Ir 0.500 0.500 0.500
W1 W 0.750 0.750 0.750
# Energy of formation from the pure elements (eV per atom): -0.14
# Total DFT energy (no corrections) (eV per atom): -6.47

(2)
# PBE-GGA LiY2MgIr, relaxed
data_LiY2MgIr
_chemical_formula_sum 'Li1 Y2 Mg1 Ir1'
_cell_length_a 5.357
_cell_length_b 5.357
_cell_length_c 5.163
_cell_angle_alpha 90.00
_cell_angle_beta 90.00
_cell_angle_gamma 90.00
_symmetry_space_group_name_H-M 'P 1'
_symmetry_Int_Tables_number 1
loop_
_symmetry_equiv_pos_as_xyz
'x,y,z'
loop_
_atom_site_label
_atom_site_type_symbol
_atom_site_fract_x
_atom_site_fract_y
_atom_site_fract_z
Ir1 Ir 0.000 0.000 0.000
Li1 Li 0.500 0.500 0.500
Mg1 Mg 0.000 0.000 0.500
Y1 Y 0.500 0.000 0.000
Y2 Y 0.000 0.500 0.000
# Energy of formation from the pure elements (eV per atom): -0.22
# Total DFT energy (no corrections) (eV per atom): -5.28

(3)
# PBE-GGA Li2Mg2ZnIr2, relaxed
data_Li2Mg2ZnIr2
_chemical_formula_sum 'Li2 Mg2 Zn1 Ir2'
_cell_length_a 4.174
_cell_length_b 4.982
_cell_length_c 7.235
_cell_angle_alpha 50.08
_cell_angle_beta 73.23
_cell_angle_gamma 65.23
_symmetry_space_group_name_H-M 'P 1'
_symmetry_Int_Tables_number 1
loop_
_symmetry_equiv_pos_as_xyz
'x,y,z'
loop_
_atom_site_label
_atom_site_type_symbol
_atom_site_fract_x
_atom_site_fract_y
_atom_site_fract_z
Mg1 Mg 0.151 0.271 0.427
Mg2 Mg 0.849 0.729 0.573
Li1 Li 0.276 0.564 0.884
Li2 Li 0.724 0.436 0.116
Ir1 Ir 0.547 0.186 0.719
Ir2 Ir 0.453 0.814 0.281
Zn1 Zn 0.000 0.000 0.000
# Energy of formation from the pure elements (eV per atom): -0.25
# Total DFT energy (no corrections) (eV per atom): -3.97

(4)
# PBE-GGA LiMnIr2, relaxed
data_LiMnIr2
_chemical_formula_sum 'Li1 Mn1 Ir2'
_cell_length_a 2.708
_cell_length_b 3.891
_cell_length_c 5.135
_cell_angle_alpha 90.00
_cell_angle_beta 90.00
_cell_angle_gamma 90.00
_symmetry_space_group_name_H-M 'P 1'
_symmetry_Int_Tables_number 1
loop_
_symmetry_equiv_pos_as_xyz
'x,y,z'
loop_
_atom_site_label
_atom_site_type_symbol
_atom_site_fract_x
_atom_site_fract_y
_atom_site_fract_z
Li1 Li 0.000 0.000 0.497
Ir1 Ir 0.500 0.500 0.258
Ir2 Ir 0.000 0.000 0.998
Mn1 Mn 0.500 0.500 0.747
# Energy of formation from the pure elements (eV per atom): -0.06
# Total DFT energy (no corrections) (eV per atom): -7.26

(5)
# PBE-GGA Li3MnIr, relaxed
data_Li3MnIr
_chemical_formula_sum 'Li3 Mn1 Ir1'
_cell_length_a 4.598
_cell_length_b 4.598
_cell_length_c 4.598
_cell_angle_alpha 90.00
_cell_angle_beta 90.00
_cell_angle_gamma 90.00
_symmetry_space_group_name_H-M 'P 1'
_symmetry_Int_Tables_number 1
loop_
_symmetry_equiv_pos_as_xyz
'x,y,z'
loop_
_atom_site_label
_atom_site_type_symbol
_atom_site_fract_x
_atom_site_fract_y
_atom_site_fract_z
Li1 Li 0.000 0.000 0.500
Li2 Li 0.500 0.000 0.000
Li3 Li 0.000 0.500 0.000
Ir1 Ir 0.000 0.000 0.000
Mn1 Mn 0.500 0.500 0.500
# Energy of formation from the pure elements (eV per atom): 0.70
# Total DFT energy (no corrections) (eV per atom): -4.05

(6)
# PBE-GGA LiMn2Ir, relaxed
data_LiMn2Ir
_chemical_formula_sum 'Li1 Mn2 Ir1'
_cell_length_a 2.759
_cell_length_b 3.601
_cell_length_c 5.280
_cell_angle_alpha 90.00
_cell_angle_beta 90.00
_cell_angle_gamma 90.00
_symmetry_space_group_name_H-M 'P 1'
_symmetry_Int_Tables_number 1
loop_
_symmetry_equiv_pos_as_xyz
'x,y,z'
loop_
_atom_site_label
_atom_site_type_symbol
_atom_site_fract_x
_atom_site_fract_y
_atom_site_fract_z
Li1 Li 0.500 0.500 0.745
Mn1 Mn 0.500 0.500 0.251
Mn2 Mn 0.000 0.000 0.995
Ir1 Ir 0.000 0.000 0.509
# Energy of formation from the pure elements (eV per atom): 0.01
# Total DFT energy (no corrections) (eV per atom): -7.27

(7)
# PBE-GGA Li2MnIr, relaxed
data_Li2MnIr
_chemical_formula_sum 'Li2 Mn1 Ir1'
_cell_length_a 3.199
_cell_length_b 3.199
_cell_length_c 5.254
_cell_angle_alpha 90.00
_cell_angle_beta 90.00
_cell_angle_gamma 90.00
_symmetry_space_group_name_H-M 'P 1'
_symmetry_Int_Tables_number 1
loop_
_symmetry_equiv_pos_as_xyz
'x,y,z'
loop_
_atom_site_label
_atom_site_type_symbol
_atom_site_fract_x
_atom_site_fract_y
_atom_site_fract_z
Li1 Li 0.000 0.000 0.523
Li2 Li 0.000 0.000 0.977
Mn1 Mn 0.500 0.500 0.250
Ir1 Ir 0.500 0.500 0.750
# Energy of formation from the pure elements (eV per atom): 0.20
# Total DFT energy (no corrections) (eV per atom): -5.26

(8)
# PBE-GGA LiMnIr2, relaxed
data_LiMnIr2
_chemical_formula_sum 'Li1 Mn1 Ir2'
_cell_length_a 2.828
_cell_length_b 4.564
_cell_length_c 4.326
_cell_angle_alpha 90.00
_cell_angle_beta 90.00
_cell_angle_gamma 90.00
_symmetry_space_group_name_H-M 'P 1'
_symmetry_Int_Tables_number 1
loop_
_symmetry_equiv_pos_as_xyz
'x,y,z'
loop_
_atom_site_label
_atom_site_type_symbol
_atom_site_fract_x
_atom_site_fract_y
_atom_site_fract_z
Mn1 Mn 0.000 0.500 0.500
Ir1 Ir 0.500 0.500 0.000
Ir2 Ir 0.000 0.000 0.000
Li1 Li 0.500 0.000 0.500
# Energy of formation from the pure elements (eV per atom): -0.02
# Total DFT energy (no corrections) (eV per atom): -7.22

(9)
# PBE-GGA Li2MnIr, relaxed
data_Li2MnIr
_chemical_formula_sum 'Li2 Mn1 Ir1'
_cell_length_a 4.250
_cell_length_b 3.622
_cell_length_c 3.622
_cell_angle_alpha 90.00
_cell_angle_beta 90.00
_cell_angle_gamma 90.00
_symmetry_space_group_name_H-M 'P 1'
_symmetry_Int_Tables_number 1
loop_
_symmetry_equiv_pos_as_xyz
'x,y,z'
loop_
_atom_site_label
_atom_site_type_symbol
_atom_site_fract_x
_atom_site_fract_y
_atom_site_fract_z
Li1 Li 0.000 0.500 0.500
Li2 Li 0.000 0.000 0.000
Ir1 Ir 0.500 0.000 0.500
Mn1 Mn 0.500 0.500 0.000
# Energy of formation from the pure elements (eV per atom): 0.02
# Total DFT energy (no corrections) (eV per atom): -5.45

(10)
# PBE-GGA LiMnIr2, relaxed
data_LiMnIr2
_chemical_formula_sum 'Li1 Mn1 Ir2'
_cell_length_a 2.706
_cell_length_b 2.706
_cell_length_c 7.159
_cell_angle_alpha 90.00
_cell_angle_beta 90.00
_cell_angle_gamma 90.00
_symmetry_space_group_name_H-M 'P 1'
_symmetry_Int_Tables_number 1
loop_
_symmetry_equiv_pos_as_xyz
'x,y,z'
loop_
_atom_site_label
_atom_site_type_symbol
_atom_site_fract_x
_atom_site_fract_y
_atom_site_fract_z
Ir1 Ir 0.000 0.000 0.986
Ir2 Ir 0.000 0.000 0.514
Mn1 Mn 0.500 0.500 0.750
Li1 Li 0.500 0.500 0.250
# Energy of formation from the pure elements (eV per atom): -0.08
# Total DFT energy (no corrections) (eV per atom): -7.28

(11)
# PBE-GGA LiMnIr2, relaxed
data_LiMnIr2
_chemical_formula_sum 'Li1 Mn1 Ir2'
_cell_length_a 4.503
_cell_length_b 4.503
_cell_length_c 4.701
_cell_angle_alpha 79.74
_cell_angle_beta 79.74
_cell_angle_gamma 35.54
_symmetry_space_group_name_H-M 'P 1'
_symmetry_Int_Tables_number 1
loop_
_symmetry_equiv_pos_as_xyz
'x,y,z'
loop_
_atom_site_label
_atom_site_type_symbol
_atom_site_fract_x
_atom_site_fract_y
_atom_site_fract_z
Mn1 Mn 0.250 0.250 0.250
Ir1 Ir 0.506 0.506 0.501
Ir2 Ir 0.994 0.994 0.999
Li1 Li 0.750 0.750 0.750
# Energy of formation from the pure elements (eV per atom): -0.13
# Total DFT energy (no corrections) (eV per atom): -7.33

(12)
# PBE-GGA LiMnIr2, relaxed
data_LiMnIr2
_chemical_formula_sum 'Li1 Mn1 Ir2'
_cell_length_a 2.698
_cell_length_b 2.698
_cell_length_c 9.093
_cell_angle_alpha 90.00
_cell_angle_beta 90.00
_cell_angle_gamma 118.25
_symmetry_space_group_name_H-M 'P 1'
_symmetry_Int_Tables_number 1
loop_
_symmetry_equiv_pos_as_xyz
'x,y,z'
loop_
_atom_site_label
_atom_site_type_symbol
_atom_site_fract_x
_atom_site_fract_y
_atom_site_fract_z
Ir1 Ir 0.500 0.500 0.254
Ir2 Ir 0.000 0.000 0.991
Mn1 Mn 0.500 0.500 0.760
Li1 Li 0.000 0.000 0.496
# Energy of formation from the pure elements (eV per atom): 0.21
# Total DFT energy (no corrections) (eV per atom): -6.99

Q: Which value of total DFT energy (no corrections) does entry 9 give?
A: -5.45 eV per atom

Q: Look up the total DFT energy (no corrections) of the fifth one.
A: -4.05 eV per atom

Q: What is the energy of formation from the pure elements in the tenth record?
A: -0.08 eV per atom